1.
This record from the Alexandria database describes LiDyIr after structural relaxation. The functional is PBE.

abc: 4.774 3.296 14.883
angles: 90.00 90.00 90.00
Space group Pnma (No. 62)
Unique sites:
Li 0.226 0.250 0.027 (multiplicity 4)
Dy 0.207 0.250 0.333 (multiplicity 4)
Ir 0.205 0.750 0.170 (multiplicity 4)

Output
formation enthalpy at 0 K: -491.3 meV per atom
crystal system: orthorhombic
polymorph energy (0 for the lowest one): 0.0292 eV/atom
E: -5.62 eV/atom

---

2.
This record from the Alexandria database describes YTl2CuF6 after structural relaxation. The functional is PBE.

abc: 6.3586 6.3586 5.9255
angles: 90.00 90.00 120.00
Space group P-3m1 (No. 164)
Unique sites:
Y 0.0000 0.0000 0.0000 (multiplicity 1)
Tl 0.3333 0.6667 0.4736 (multiplicity 2)
Cu 0.0000 0.0000 0.5000 (multiplicity 1)
F 0.1522 0.3043 0.7569 (multiplicity 6)

Output
crystal system: trigonal
E: -5.10 eV/atom

---

3.
This record from the Alexandria database describes CaTlCd2 after structural relaxation. The functional is PBE.

abc: 4.658 4.658 4.843
angles: 90.00 90.00 90.00
Space group P4/mmm (No. 123)
Unique sites:
Ca 0.000 0.000 0.000 (multiplicity 1)
Tl 0.500 0.500 0.000 (multiplicity 1)
Cd 0.000 0.500 0.500 (multiplicity 2)

Output
formation enthalpy at 0 K: -238.0 meV per atom
crystal system: tetragonal
polymorph energy (0 for the lowest one): 0.0000 eV/atom
E: -1.79 eV/atom